1.
# Ti2Ni7Sb2Pt

Crystalline Ti2Ni7Sb2Pt at its relaxed geometry (PBE, Alexandria via LeMat-Bulk).

**SG**: No. 139
**E**: -71.7 eV for the cell shown
**N(E_F)**: 15.200 states/eV/f.u.
**Calculated volume**: 14.772 Å³/atom

Lattice parameters (Å, degrees): 3.488 3.488 14.775 83.26 83.26 89.99
Element x y z (fractional)
Ti (0.625, 0.625, 0.748)
Ti (0.375, 0.375, 0.252)
Ni (0.933, 0.433, 0.134)
Ni (0.567, 0.067, 0.866)
Ni (0.433, 0.933, 0.134)
Ni (0.726, 0.726, 0.549)
Ni (0.067, 0.567, 0.866)
Ni (0.274, 0.274, 0.451)
Ni (0.500, 0.500, 0.000)
Sb (0.188, 0.188, 0.625)
Sb (0.812, 0.812, 0.375)
Pt (0.000, 0.000, 0.000)

---

2.
# HfNi5Sb

Crystalline HfNi5Sb at its relaxed geometry (PBE, Alexandria via LeMat-Bulk).

**SG**: No. 62
**E**: -180.2 eV for the cell shown
**N(E_F)**: 6.584 states/eV/f.u.
**Calculated volume**: 13.591 Å³/atom

Lattice parameters (Å, degrees): 4.823 7.853 10.048 90.00 90.00 90.00
Element x y z (fractional)
Ni (0.750, 0.315, 0.751)
Ni (0.250, 0.942, 0.090)
Ni (0.750, 0.815, 0.749)
Ni (0.250, 0.185, 0.251)
Ni (0.502, 0.933, 0.310)
Ni (0.750, 0.908, 0.519)
Ni (0.750, 0.058, 0.910)
Ni (0.998, 0.433, 0.190)
Ni (0.998, 0.933, 0.310)
Ni (0.250, 0.685, 0.249)
Ni (0.750, 0.558, 0.590)
Ni (0.502, 0.433, 0.190)
Ni (0.250, 0.442, 0.410)
Ni (0.002, 0.067, 0.690)
Ni (0.002, 0.567, 0.810)
Ni (0.750, 0.408, 0.981)
Ni (0.498, 0.567, 0.810)
Ni (0.250, 0.092, 0.481)
Ni (0.498, 0.067, 0.690)
Ni (0.250, 0.592, 0.019)
Hf (0.750, 0.736, 0.058)
Hf (0.750, 0.236, 0.442)
Hf (0.250, 0.764, 0.558)
Hf (0.250, 0.264, 0.942)
Sb (0.250, 0.859, 0.856)
Sb (0.750, 0.641, 0.356)
Sb (0.250, 0.359, 0.644)
Sb (0.750, 0.141, 0.144)